VASP calculation (meta-GGA SCAN) on Ir7Pt at its PBEsol-relaxed geometry.

Lattice parameters (Å, degrees): 5.4310 5.4310 5.4310 60.00 60.00 60.00
Closest atoms and distances in Å follow each position.
Sites, in units of the cell vectors:
Ir 0.5000 0.0000 0.0000  2 Pt 2.72, 10 Ir 2.72
Ir 0.5000 0.5000 0.0000  10 Ir 2.72, 2 Pt 2.72
Ir 0.0000 0.5000 0.0000  10 Ir 2.72, 2 Pt 2.72
Ir 0.5000 0.0000 0.5000  10 Ir 2.72, 2 Pt 2.72
Ir 0.0000 0.0000 0.5000  10 Ir 2.72, 2 Pt 2.72
Ir 0.0000 0.5000 0.5000  10 Ir 2.72, 2 Pt 2.72
Ir 0.5000 0.5000 0.5000  12 Ir 2.72
Pt 0.0000 0.0000 0.0000  12 Ir 2.72

Output
For the formation enthalpy at 0 K, the calculation gives 0.06 eV/atom. Its space-group type is Fm-3m. The value obtained for the total magnetization is 0.0 μB/f.u. For the density of states at the Fermi level, the calculation gives 6.8 states/eV per cell.